Entry 1:
Fe2AsOs: optimized geometry, PBE.

Cell lengths 4.1915, 4.1915, 4.1915 Å; angles 60.00, 60.00, 60.00 degrees
Closest atoms and distances in Å follow each position.
Sites, in units of the cell vectors:
As 0.5000 0.5000 0.5000  4 Fe 2.57, 4 Os 2.57
Fe 0.0000 0.0000 0.0000  4 Os 2.57, 4 Fe 2.57
Fe 0.2500 0.2500 0.2500  4 As 2.57, 4 Fe 2.57
Os 0.7500 0.7500 0.7500  4 Fe 2.57, 4 As 2.57

## Properties
energy relative to the elements = 0.8 eV/f.u.
energy = -8.005 eV per atom
N(E_F) = 0.788 states/eV per atom

=====

Entry 2:
Pr2Be3SiPt4: optimized geometry, PBE.

Cell lengths 4.1566, 4.1566, 9.6833 Å; angles 90.00, 90.00, 90.00 degrees
Closest atoms and distances in Å follow each position.
Sites, in units of the cell vectors:
Pr 0.5000 0.0000 0.2504  8 Pt 3.16-3.19, 6 Be 3.19-3.20, 2 Si 3.19
Pr 0.0000 0.5000 0.7496  8 Pt 3.16-3.19, 6 Be 3.19-3.20, 2 Si 3.19
Be 0.0000 0.0000 0.5000  4 Pt 2.42
Be 0.5000 0.0000 0.8801  5 Pt 2.38-2.44
Be 0.0000 0.5000 0.1199  5 Pt 2.38-2.44
Si 0.5000 0.5000 0.5000  4 Pt 2.42
Pt 0.5000 0.5000 0.0000  4 Be 2.38
Pt 0.0000 0.0000 0.0000  4 Be 2.38
Pt 0.5000 0.0000 0.6285  3 Be 2.42-2.44, 2 Si 2.42
Pt 0.0000 0.5000 0.3715  3 Be 2.42-2.44, 2 Si 2.42

## Properties
energy = -5.945 eV per atom
N(E_F) = 0.540 states/eV per atom